1.
Below is crystalline La3Nd3Mg at its relaxed geometry, with properties calculated at the PBE level.

```
data_La3Nd3Mg
_chemical_formula_sum 'La6 Nd6 Mg2'
_cell_length_a 9.7775
_cell_length_b 9.7775
_cell_length_c 5.8397
_cell_angle_alpha 90.00
_cell_angle_beta 90.00
_cell_angle_gamma 120.00
_symmetry_space_group_name_H-M 'P 1'
_symmetry_Int_Tables_number 1
loop_
_symmetry_equiv_pos_as_xyz
'x,y,z'
loop_
_atom_site_label
_atom_site_fract_x
_atom_site_fract_y
_atom_site_fract_z
La1 0.1037 0.4750 0.2500
La2 0.3712 0.8963 0.2500
La3 0.4750 0.3712 0.7500
La4 0.5250 0.6288 0.2500
La5 0.6288 0.1037 0.7500
La6 0.8963 0.5250 0.7500
Nd1 0.0542 0.2398 0.7500
Nd2 0.1856 0.9458 0.7500
Nd3 0.2398 0.1856 0.2500
Nd4 0.7602 0.8144 0.7500
Nd5 0.8144 0.0542 0.2500
Nd6 0.9458 0.7602 0.2500
Mg1 0.3333 0.6667 0.7500
Mg2 0.6667 0.3333 0.2500
```

Values from the calculation:
Energy relative to the elements = 11 meV/atom
DOS(E_F) = 20.49 states/eV per cell
V = 34.5 A^3/atom
Relative energy among the computed polymorphs = 0.000 eV per atom
SG = P6_3/m


2.
Below is crystalline KTiRuS3 at its relaxed geometry, with properties calculated at the PBE level.

```
data_KTiRuS3
_chemical_formula_sum 'K2 Ti2 Ru2 S6'
_cell_length_a 8.3056
_cell_length_b 3.5836
_cell_length_c 9.3871
_cell_angle_alpha 90.00
_cell_angle_beta 112.61
_cell_angle_gamma 90.00
_symmetry_space_group_name_H-M 'P 1'
_symmetry_Int_Tables_number 1
loop_
_symmetry_equiv_pos_as_xyz
'x,y,z'
loop_
_atom_site_label
_atom_site_fract_x
_atom_site_fract_y
_atom_site_fract_z
K1 0.2240 0.2500 0.2413
K2 0.7760 0.7500 0.7587
Ti1 0.3153 0.7500 0.8447
Ti2 0.6847 0.2500 0.1553
Ru1 0.0893 0.2500 0.6104
Ru2 0.9107 0.7500 0.3896
S1 0.1263 0.2500 0.8707
S2 0.2208 0.7500 0.5519
S3 0.4656 0.7500 0.1347
S4 0.5344 0.2500 0.8653
S5 0.7792 0.2500 0.4481
S6 0.8737 0.7500 0.1293
```

Values from the calculation:
DOS(E_F) = 5.45 states/eV per cell
V = 21.5 A^3/atom
Energy relative to the elements, uncorrected = -1.03 eV per atom
SG = P2_1/m


3.
Below is crystalline ErThSi2Pt2 at its relaxed geometry, with properties calculated at the PBE level.

```
data_ErThSi2Pt2
_chemical_formula_sum 'Er1 Th1 Si2 Pt2'
_cell_length_a 4.2198
_cell_length_b 4.2198
_cell_length_c 7.9335
_cell_angle_alpha 90.00
_cell_angle_beta 90.00
_cell_angle_gamma 120.00
_symmetry_space_group_name_H-M 'P 1'
_symmetry_Int_Tables_number 1
loop_
_symmetry_equiv_pos_as_xyz
'x,y,z'
loop_
_atom_site_label
_atom_site_fract_x
_atom_site_fract_y
_atom_site_fract_z
Er1 0.0000 0.0000 0.0000
Th1 0.0000 0.0000 0.5000
Si1 0.3333 0.6667 0.2472
Si2 0.6667 0.3333 0.7528
Pt1 0.3333 0.6667 0.7673
Pt2 0.6667 0.3333 0.2327
```

Values from the calculation:
DOS(E_F) = 4.28 states/eV per cell
V = 20.4 A^3/atom
Energy relative to the elements, uncorrected = -1.17 eV per atom
SG = P-3m1


4.
Below is crystalline Ho8TmCd2 at its relaxed geometry, with properties calculated at the PBE level.

```
data_Ho8TmCd2
_chemical_formula_sum 'Ho8 Tm1 Cd2'
_cell_length_a 8.6820
_cell_length_b 8.6820
_cell_length_c 5.5153
_cell_angle_alpha 101.08
_cell_angle_beta 101.08
_cell_angle_gamma 119.62
_symmetry_space_group_name_H-M 'P 1'
_symmetry_Int_Tables_number 1
loop_
_symmetry_equiv_pos_as_xyz
'x,y,z'
loop_
_atom_site_label
_atom_site_fract_x
_atom_site_fract_y
_atom_site_fract_z
Ho1 0.0941 0.3194 0.6139
Ho2 0.2189 0.7811 0.0000
Ho3 0.3194 0.0941 0.6139
Ho4 0.3981 0.3981 0.2010
Ho5 0.6019 0.6019 0.7990
Ho6 0.6806 0.9059 0.3861
Ho7 0.7811 0.2189 0.0000
Ho8 0.9059 0.6806 0.3861
Tm1 0.0000 0.0000 0.0000
Cd1 0.3061 0.6939 0.5000
Cd2 0.6939 0.3061 0.5000
```

Values from the calculation:
Energy relative to the elements = 40 meV/atom
DOS(E_F) = 14.78 states/eV per cell
V = 30.4 A^3/atom
SG = C2/m


5.
Below is crystalline NbSnAu at its relaxed geometry, with properties calculated at the PBE level.

```
data_NbSnAu
_chemical_formula_sum 'Nb2 Sn2 Au2'
_cell_length_a 3.0284
_cell_length_b 3.0284
_cell_length_c 13.0101
_cell_angle_alpha 90.00
_cell_angle_beta 90.00
_cell_angle_gamma 90.00
_symmetry_space_group_name_H-M 'P 1'
_symmetry_Int_Tables_number 1
loop_
_symmetry_equiv_pos_as_xyz
'x,y,z'
loop_
_atom_site_label
_atom_site_fract_x
_atom_site_fract_y
_atom_site_fract_z
Nb1 0.0000 0.0000 0.0000
Nb2 0.5000 0.5000 0.5000
Sn1 0.0000 0.0000 0.6685
Sn2 0.5000 0.5000 0.1685
Au1 0.0000 0.0000 0.3497
Au2 0.5000 0.5000 0.8497
```

Values from the calculation:
Energy relative to the elements = 8 meV/atom
DOS(E_F) = 2.97 states/eV per cell
V = 19.9 A^3/atom
SG = I4mm


6.
Below is crystalline Th4Pd15Pb at its relaxed geometry, with properties calculated at the PBE level.

```
data_Th4Pd15Pb
_chemical_formula_sum 'Th4 Pd15 Pb1'
_cell_length_a 4.2038
_cell_length_b 4.2038
_cell_length_c 20.9803
_cell_angle_alpha 90.00
_cell_angle_beta 90.00
_cell_angle_gamma 90.00
_symmetry_space_group_name_H-M 'P 1'
_symmetry_Int_Tables_number 1
loop_
_symmetry_equiv_pos_as_xyz
'x,y,z'
loop_
_atom_site_label
_atom_site_fract_x
_atom_site_fract_y
_atom_site_fract_z
Th1 0.0000 0.0000 0.1019
Th2 0.0000 0.0000 0.3053
Th3 0.0000 0.0000 0.6947
Th4 0.0000 0.0000 0.8981
Pd1 0.0000 0.5000 0.0000
Pd2 0.0000 0.5000 0.2011
Pd3 0.0000 0.5000 0.4003
Pd4 0.0000 0.5000 0.5997
Pd5 0.0000 0.5000 0.7989
Pd6 0.5000 0.0000 0.0000
Pd7 0.5000 0.0000 0.2011
Pd8 0.5000 0.0000 0.4003
Pd9 0.5000 0.0000 0.5997
Pd10 0.5000 0.0000 0.7989
Pd11 0.5000 0.5000 0.1005
Pd12 0.5000 0.5000 0.3007
Pd13 0.5000 0.5000 0.5000
Pd14 0.5000 0.5000 0.6993
Pd15 0.5000 0.5000 0.8995
Pb1 0.0000 0.0000 0.5000
```

Values from the calculation:
Energy relative to the elements = -808 meV/atom
DOS(E_F) = 3.22 states/eV per cell
V = 18.5 A^3/atom
SG = P4/mmm


7.
Below is crystalline SrCr2Ir at its relaxed geometry, with properties calculated at the PBE level.

```
data_SrCr2Ir
_chemical_formula_sum 'Sr1 Cr2 Ir1'
_cell_length_a 4.0544
_cell_length_b 4.2329
_cell_length_c 4.5004
_cell_angle_alpha 90.00
_cell_angle_beta 90.00
_cell_angle_gamma 90.00
_symmetry_space_group_name_H-M 'P 1'
_symmetry_Int_Tables_number 1
loop_
_symmetry_equiv_pos_as_xyz
'x,y,z'
loop_
_atom_site_label
_atom_site_fract_x
_atom_site_fract_y
_atom_site_fract_z
Sr1 0.0000 0.0000 0.0000
Cr1 0.0000 0.5000 0.5000
Cr2 0.5000 0.0000 0.5000
Ir1 0.5000 0.5000 0.0000
```

Values from the calculation:
Energy relative to the elements = 644 meV/atom
DOS(E_F) = 3.11 states/eV per cell
V = 19.3 A^3/atom
Relative energy among the computed polymorphs = 0.254 eV per atom
SG = Pmmm


8.
Below is crystalline SiAs2Os at its relaxed geometry, with properties calculated at the PBE level.

```
data_SiAs2Os
_chemical_formula_sum 'Si2 As4 Os2'
_cell_length_a 5.2067
_cell_length_b 6.9890
_cell_length_c 4.3524
_cell_angle_alpha 90.00
_cell_angle_beta 121.45
_cell_angle_gamma 90.00
_symmetry_space_group_name_H-M 'P 1'
_symmetry_Int_Tables_number 1
loop_
_symmetry_equiv_pos_as_xyz
'x,y,z'
loop_
_atom_site_label
_atom_site_fract_x
_atom_site_fract_y
_atom_site_fract_z
Si1 0.0000 0.0000 0.0000
Si2 0.5000 0.5000 0.0000
As1 0.2500 0.2500 0.5000
As2 0.2500 0.7500 0.5000
As3 0.7500 0.2500 0.5000
As4 0.7500 0.7500 0.5000
Os1 0.0000 0.5000 0.0000
Os2 0.5000 0.0000 0.0000
```

Values from the calculation:
DOS(E_F) = 6.00 states/eV per cell
V = 16.9 A^3/atom
Energy relative to the elements, uncorrected = 0.49 eV per atom
SG = C2/m


9.
Below is crystalline TbSc3Rh4 at its relaxed geometry, with properties calculated at the PBE level.

```
data_TbSc3Rh4
_chemical_formula_sum 'Tb1 Sc3 Rh4'
_cell_length_a 8.0685
_cell_length_b 8.0685
_cell_length_c 8.0685
_cell_angle_alpha 33.43
_cell_angle_beta 33.43
_cell_angle_gamma 33.43
_symmetry_space_group_name_H-M 'P 1'
_symmetry_Int_Tables_number 1
loop_
_symmetry_equiv_pos_as_xyz
'x,y,z'
loop_
_atom_site_label
_atom_site_fract_x
_atom_site_fract_y
_atom_site_fract_z
Tb1 0.0000 0.0000 0.0000
Sc1 0.2471 0.2471 0.2471
Sc2 0.5000 0.5000 0.5000
Sc3 0.7529 0.7529 0.7529
Rh1 0.1275 0.1275 0.1275
Rh2 0.3784 0.3784 0.3784
Rh3 0.6216 0.6216 0.6216
Rh4 0.8725 0.8725 0.8725
```

Values from the calculation:
Energy relative to the elements = -959 meV/atom
DOS(E_F) = 2.84 states/eV per cell
V = 17.7 A^3/atom
SG = R-3m


10.
Below is crystalline BaTm4Cd5 at its relaxed geometry, with properties calculated at the PBE level.

```
data_BaTm4Cd5
_chemical_formula_sum 'Ba1 Tm4 Cd5'
_cell_length_a 3.7667
_cell_length_b 3.7667
_cell_length_c 19.2568
_cell_angle_alpha 90.00
_cell_angle_beta 90.00
_cell_angle_gamma 90.00
_symmetry_space_group_name_H-M 'P 1'
_symmetry_Int_Tables_number 1
loop_
_symmetry_equiv_pos_as_xyz
'x,y,z'
loop_
_atom_site_label
_atom_site_fract_x
_atom_site_fract_y
_atom_site_fract_z
Ba1 0.0000 0.0000 0.0000
Tm1 0.0000 0.0000 0.2188
Tm2 0.0000 0.0000 0.4068
Tm3 0.0000 0.0000 0.5932
Tm4 0.0000 0.0000 0.7812
Cd1 0.5000 0.5000 0.1300
Cd2 0.5000 0.5000 0.3125
Cd3 0.5000 0.5000 0.5000
Cd4 0.5000 0.5000 0.6875
Cd5 0.5000 0.5000 0.8700
```

Values from the calculation:
Energy relative to the elements = -294 meV/atom
DOS(E_F) = 7.28 states/eV per cell
V = 27.3 A^3/atom
SG = P4/mmm


Which of these has the highest DOS(E_F)?
La3Nd3Mg


DOS(E_F) of number 3 (ErThSi2Pt2)?
4.28 states/eV per cell


Among the records above, which one has the highest DOS(E_F)?
La3Nd3Mg


The lowest DOS(E_F) belongs to which entry?
TbSc3Rh4